Compound: BaIr2Os
Source: Alexandria via LeMat-Bulk
Functional: PBE
Structure: optimized geometry

Energy relative to the elements, eV per atom: 1.217
Space-group type: I4/mmm (139)
N(E_F), states/eV/f.u.: 6.87
E, eV/atom: -6.5021
Total magnetic moment, μB/f.u.: 0.94
Polymorph energy (0 for the lowest one), eV per atom: 1.097

Unit cell a=4.386 b=4.386 c=7.930 alpha=90.00 beta=90.00 gamma=90.00
Fractional coordinates of all 8 atoms:
Ba (0.000, 0.000, 0.000)
Ba (0.500, 0.500, 0.500)
Ir (0.000, 0.500, 0.250)
Ir (0.000, 0.500, 0.750)
Ir (0.500, 0.000, 0.250)
Ir (0.500, 0.000, 0.750)
Os (0.000, 0.000, 0.500)
Os (0.500, 0.500, 0.000)

---

Compound: Cs3Pm2PaS6
Source: Alexandria via LeMat-Bulk
Functional: PBE
Structure: optimized geometry

Space-group type: C2/m (12)
Formation energy without anion corrections, eV/atom: -1.682
N(E_F), states/eV/f.u.: 6.70
E, eV/atom: -5.5425
Total magnetic moment, μB/f.u.: 1.53

Unit cell a=7.220 b=7.220 c=8.457 alpha=98.18 beta=98.18 gamma=119.99
Fractional coordinates of all 12 atoms:
Cs (0.000, 0.000, 0.000)
Cs (0.331, 0.669, 0.000)
Cs (0.669, 0.331, 0.000)
Pm (0.166, 0.834, 0.500)
Pm (0.834, 0.166, 0.500)
Pa (0.500, 0.500, 0.500)
S (0.116, 0.438, 0.315)
S (0.240, 0.240, 0.686)
S (0.438, 0.116, 0.315)
S (0.562, 0.884, 0.685)
S (0.760, 0.760, 0.314)
S (0.884, 0.562, 0.685)

---

Compound: K3Pa3AgTe8
Source: Alexandria via LeMat-Bulk
Functional: PBE
Structure: optimized geometry

Space-group type: C2/m (12)
Formation energy without anion corrections, eV/atom: -0.829
N(E_F), states/eV/f.u.: 16.42
E, eV/atom: -4.8134
Total magnetic moment, μB/f.u.: 3.01

Unit cell a=8.849 b=8.849 c=9.828 alpha=116.70 beta=116.70 gamma=60.07
Fractional coordinates of all 15 atoms:
K (0.000, 0.000, 0.000)
K (0.000, 0.500, 0.000)
K (0.500, 0.000, 0.000)
Pa (0.000, 0.500, 0.500)
Pa (0.500, 0.000, 0.500)
Pa (0.500, 0.500, 0.500)
Ag (0.000, 0.000, 0.500)
Te (0.239, 0.239, 0.706)
Te (0.240, 0.727, 0.707)
Te (0.262, 0.262, 0.286)
Te (0.273, 0.760, 0.293)
Te (0.727, 0.240, 0.707)
Te (0.738, 0.738, 0.714)
Te (0.760, 0.273, 0.293)
Te (0.761, 0.761, 0.294)

---

Compound: In4AsSe
Source: Alexandria via LeMat-Bulk
Functional: PBE
Structure: optimized geometry

Space-group type: F-43m (216)
Formation energy without anion corrections, eV/atom: 0.317
N(E_F), states/eV/f.u.: 5.62
E, eV/atom: -2.8647
Total magnetic moment, μB/f.u.: 0.00

Unit cell a=6.116 b=6.116 c=6.116 alpha=60.00 beta=60.00 gamma=60.00
Fractional coordinates of all 6 atoms:
In (0.125, 0.125, 0.125)
In (0.125, 0.125, 0.625)
In (0.125, 0.625, 0.125)
In (0.625, 0.125, 0.125)
As (0.500, 0.500, 0.500)
Se (0.750, 0.750, 0.750)

---

Compound: Pr3Er8Tm4
Source: Alexandria via LeMat-Bulk
Functional: PBE
Structure: optimized geometry

Energy relative to the elements, eV per atom: 0.406
Space-group type: C2/m (12)
N(E_F), states/eV/f.u.: 28.99
E, eV/atom: -4.1761
Total magnetic moment, μB/f.u.: 0.00

Unit cell a=9.248 b=9.248 c=6.688 alpha=111.18 beta=111.18 gamma=87.77
Fractional coordinates of all 15 atoms:
Pr (0.000, 0.000, 0.000)
Pr (0.000, 0.500, 0.000)
Pr (0.500, 0.000, 0.000)
Er (0.139, 0.861, 0.500)
Er (0.232, 0.232, 0.956)
Er (0.243, 0.243, 0.488)
Er (0.249, 0.751, 0.000)
Er (0.751, 0.249, 0.000)
Er (0.757, 0.757, 0.512)
Er (0.768, 0.768, 0.044)
Er (0.861, 0.139, 0.500)
Tm (0.000, 0.500, 0.500)
Tm (0.500, 0.000, 0.500)
Tm (0.500, 0.500, 0.000)
Tm (0.500, 0.500, 0.500)

---

Compound: CsScTlSe3
Source: Alexandria via LeMat-Bulk
Functional: PBE
Structure: optimized geometry

Space-group type: C2/c (15)
Formation energy without anion corrections, eV/atom: -1.086
N(E_F), states/eV/f.u.: 1.98
E, eV/atom: -4.4201
Total magnetic moment, μB/f.u.: 0.00

Unit cell a=8.250 b=8.250 c=7.437 alpha=92.83 beta=92.83 gamma=124.49
Fractional coordinates of all 12 atoms:
Cs (0.250, 0.750, 0.750)
Cs (0.750, 0.250, 0.250)
Sc (0.062, 0.938, 0.250)
Sc (0.938, 0.062, 0.750)
Tl (0.430, 0.570, 0.250)
Tl (0.570, 0.430, 0.750)
Se (0.199, 0.242, 0.499)
Se (0.234, 0.766, 0.250)
Se (0.242, 0.199, 0.999)
Se (0.758, 0.801, 0.001)
Se (0.766, 0.234, 0.750)
Se (0.801, 0.758, 0.501)

---

Compound: NdEu2Hg
Source: Alexandria via LeMat-Bulk
Functional: PBE
Structure: optimized geometry

Energy relative to the elements, eV per atom: -0.213
Space-group type: P4/mmm (123)
N(E_F), states/eV/f.u.: 10.01
E, eV/atom: -6.6179
Total magnetic moment, μB/f.u.: 14.80
Polymorph energy (0 for the lowest one), eV per atom: 0.000

Unit cell a=3.812 b=3.812 c=9.367 alpha=90.00 beta=90.00 gamma=90.00
Fractional coordinates of all 4 atoms:
Nd (0.000, 0.000, 0.000)
Eu (0.500, 0.500, 0.291)
Eu (0.500, 0.500, 0.709)
Hg (0.000, 0.000, 0.500)

---

Compound: Na2SnS3
Source: Alexandria via LeMat-Bulk
Functional: PBE
Structure: optimized geometry

Space-group type: Imm2 (44)
Formation energy without anion corrections, eV/atom: -0.794
E, eV/atom: -3.9645
Total magnetic moment, μB/f.u.: 0.00
Polymorph energy (0 for the lowest one), eV per atom: 0.000

Unit cell a=4.034 b=13.003 c=6.539 alpha=90.00 beta=90.00 gamma=90.00
Fractional coordinates of all 12 atoms:
Na (0.000, 0.165, 0.000)
Na (0.000, 0.835, 0.000)
Na (0.500, 0.335, 0.500)
Na (0.500, 0.665, 0.500)
Sn (0.000, 0.500, 0.967)
Sn (0.500, 0.000, 0.467)
S (0.000, 0.000, 0.706)
S (0.000, 0.345, 0.781)
S (0.000, 0.655, 0.781)
S (0.500, 0.155, 0.281)
S (0.500, 0.500, 0.206)
S (0.500, 0.845, 0.281)